Computed, not measured: a relaxed Y6SnRh2 crystal at the PBE-GGA level of DFT.

Unit cell a=8.5334 b=8.5334 c=8.5334 alpha=105.14 beta=110.76 gamma=112.60
Element x y z (fractional)
Y 0.5313 0.7127 0.8187
Y 0.4687 0.2873 0.1813
Y 0.1060 0.2873 0.8187
Y 0.8940 0.7127 0.1813
Y 0.7970 0.7628 0.5599
Y 0.2030 0.2372 0.4401
Y 0.2030 0.7628 0.9658
Y 0.7970 0.2372 0.0342
Y 0.6919 0.3627 0.6708
Y 0.3081 0.6373 0.3292
Y 0.3081 0.9789 0.6708
Y 0.6919 0.0211 0.3292
Sn 0.0000 0.5000 0.5000
Sn 0.0000 0.0000 0.0000
Rh 0.5000 0.3686 0.8686
Rh 0.5000 0.6314 0.1314
Rh 0.6646 0.0000 0.6646
Rh 0.3354 0.0000 0.3354

## Properties
Calculated volume = 476.2 Å³ per cell
Crystal system = orthorhombic
Total magnetic moment = 0.000 μB/atom


Computed, not measured: a relaxed PmHoAlZn crystal at the PBE-GGA level of DFT.

Unit cell a=5.1400 b=5.1400 c=5.1400 alpha=60.00 beta=60.00 gamma=60.00
Element x y z (fractional)
Zn 0.0000 0.0000 0.0000
Al 0.5000 0.5000 0.5000
Ho 0.7500 0.7500 0.7500
Pm 0.2500 0.2500 0.2500

## Properties
Calculated volume = 96.0 Å³ per cell
Crystal system = cubic
Total magnetic moment = 0.000 μB/atom


Computed, not measured: a relaxed Ce2ScIr crystal at the PBE-GGA level of DFT.

Unit cell a=3.8265 b=3.8265 c=8.9961 alpha=77.72 beta=77.72 gamma=60.00
Last column: magnetic moment on the atom in μB.
Element x y z (fractional)
Ce 0.0653 0.0653 0.8041  -0.48
Ce 0.2682 0.2682 0.1955  0.53
Sc 0.4996 0.4996 0.5011  0.03
Ir 0.6669 0.6669 0.9993  0.00

## Properties
E above lowest polymorph = 0.000 eV/atom
Calculated volume = 110.6 Å³ per cell
Crystal system = trigonal
Total magnetic moment = 0.028 μB/atom


Computed, not measured: a relaxed Pr5Nd2Pb4 crystal at the PBE-GGA level of DFT.

Unit cell a=3.6328 b=8.5624 c=14.4682 alpha=123.30 beta=97.21 gamma=90.00
Element x y z (fractional)
Pr 0.1775 0.8710 0.3549
Pr 0.8225 0.1290 0.6451
Pr 0.1270 0.2011 0.2541
Pr 0.5000 0.0000 0.0000
Pr 0.8730 0.7989 0.7459
Nd 0.7296 0.6339 0.4593
Nd 0.2704 0.3661 0.5407
Pb 0.5905 0.4670 0.1811
Pb 0.0383 0.7254 0.0765
Pb 0.4095 0.5330 0.8189
Pb 0.9617 0.2746 0.9235

## Properties
Calculated volume = 371.9 Å³ per cell
Crystal system = monoclinic
Total magnetic moment = 0.000 μB/atom


no.,formation energy (eV per atom),total DFT energy (no corrections) (eV/atom)
1,-0.6416,-7.03
2,-0.3555,-3.94
3,-0.1917,-6.96
4,-0.0780,-4.47